No. 1
Ba2MgAg | Alexandria via LeMat-Bulk | GGA-PBEsol | optimized geometry; ΔE_f = -0.105 eV per atom; space group = P4/mmm; raw total energy = -9.75 eV/cell
1.0
4.064 0.000 0.000
0.000 4.064 0.000
0.000 0.000 8.659
Ba Mg Ag
2 1 1
direct
0.000 0.000 0.226
0.000 0.000 0.774
0.500 0.500 0.500
0.500 0.500 0.000



No. 2
Ba2MgAg | Alexandria via LeMat-Bulk | GGA-PBEsol | optimized geometry; ΔE_f = -0.104 eV per atom; space group = R3m; raw total energy = -29.23 eV/cell
1.0
4.825 0.000 0.000
-2.413 4.179 0.000
0.000 0.000 24.839
Ba Mg Ag
6 3 3
direct
0.000 0.000 0.000
0.000 0.000 0.180
0.333 0.667 0.667
0.333 0.667 0.847
0.667 0.333 0.333
0.667 0.333 0.513
0.000 0.000 0.757
0.333 0.667 0.423
0.667 0.333 0.090
0.000 0.000 0.423
0.333 0.667 0.090
0.667 0.333 0.757



No. 3
BaMgZrAg2 | Alexandria via LeMat-Bulk | GGA-PBEsol | optimized geometry; ΔE_f = 0.919 eV per atom; space group = P4/mmm; raw total energy = -14.98 eV/cell
1.0
4.932 0.000 0.000
0.000 4.932 0.000
0.000 0.000 5.619
Ba Mg Zr Ag
1 1 1 2
direct
0.000 0.000 0.000
0.000 0.000 0.500
0.500 0.500 0.000
0.000 0.500 0.500
0.500 0.000 0.500



No. 4
BaMn3Ag | Alexandria via LeMat-Bulk | GGA-PBEsol | optimized geometry; ΔE_f = 2.285 eV per atom; space group = Pm-3m; raw total energy = -23.32 eV/cell
1.0
4.959 0.000 0.000
0.000 4.959 0.000
0.000 0.000 4.959
Ba Mn Ag
1 3 1
direct
0.000 0.000 0.000
0.000 0.000 0.500
0.000 0.500 0.000
0.500 0.000 0.000
0.500 0.500 0.500



No. 5
BaMnAg | Alexandria via LeMat-Bulk | GGA-PBEsol | optimized geometry; ΔE_f = 0.426 eV per atom; space group = I4mm; raw total energy = -27.89 eV/cell
1.0
3.636 0.000 0.000
0.000 3.636 0.000
0.000 0.000 11.654
Ba Mn Ag
2 2 2
direct
0.000 0.000 0.000
0.500 0.500 0.500
0.000 0.000 0.283
0.500 0.500 0.783
0.000 0.000 0.708
0.500 0.500 0.208



No. 6
BaMn2Ag | Alexandria via LeMat-Bulk | GGA-PBEsol | optimized geometry; ΔE_f = 0.965 eV per atom; space group = C2/m; raw total energy = -42.25 eV/cell
1.0
6.092 0.000 0.000
0.000 10.199 0.000
-1.462 0.000 2.729
Ba Mn Ag
2 4 2
direct
0.000 0.000 0.000
0.500 0.500 0.000
0.250 0.250 0.500
0.250 0.750 0.500
0.750 0.250 0.500
0.750 0.750 0.500
0.000 0.500 0.000
0.500 0.000 0.000



No. 7
BaMn2Ag | Alexandria via LeMat-Bulk | GGA-PBEsol | optimized geometry; ΔE_f = 0.912 eV per atom; space group = Pmmm; raw total energy = -21.33 eV/cell
1.0
3.368 0.000 0.000
0.000 5.003 0.000
0.000 0.000 5.174
Ba Mn Ag
1 2 1
direct
0.000 0.000 0.000
0.000 0.500 0.500
0.500 0.500 0.000
0.500 0.000 0.500



No. 8
Ba3MnAg | Alexandria via LeMat-Bulk | GGA-PBEsol | optimized geometry; ΔE_f = 0.572 eV per atom; space group = Pm-3m; raw total energy = -16.66 eV/cell
1.0
6.235 0.000 0.000
0.000 6.235 0.000
0.000 0.000 6.235
Ba Mn Ag
3 1 1
direct
0.000 0.000 0.500
0.000 0.500 0.000
0.500 0.000 0.000
0.500 0.500 0.500
0.000 0.000 0.000



No. 9
BaMn2Ag | Alexandria via LeMat-Bulk | GGA-PBEsol | optimized geometry; ΔE_f = 0.893 eV per atom; space group = F-43m; raw total energy = -85.64 eV/cell
1.0
7.221 0.000 0.000
0.000 7.221 0.000
0.000 0.000 7.221
Ba Mn Ag
4 8 4
direct
0.000 0.000 0.000
0.000 0.500 0.500
0.500 0.000 0.500
0.500 0.500 0.000
0.000 0.000 0.500
0.000 0.500 0.000
0.250 0.250 0.250
0.250 0.750 0.750
0.500 0.000 0.000
0.500 0.500 0.500
0.750 0.250 0.750
0.750 0.750 0.250
0.250 0.250 0.750
0.250 0.750 0.250
0.750 0.250 0.250
0.750 0.750 0.750



No. 10
BaMnAg2 | Alexandria via LeMat-Bulk | GGA-PBEsol | optimized geometry; ΔE_f = 0.488 eV per atom; space group = F-43m; raw total energy = -66.32 eV/cell
1.0
7.194 0.000 0.000
0.000 7.194 0.000
0.000 0.000 7.194
Ba Mn Ag
4 4 8
direct
0.000 0.000 0.000
0.000 0.500 0.500
0.500 0.000 0.500
0.500 0.500 0.000
0.250 0.250 0.750
0.250 0.750 0.250
0.750 0.250 0.250
0.750 0.750 0.750
0.000 0.000 0.500
0.000 0.500 0.000
0.250 0.250 0.250
0.250 0.750 0.750
0.500 0.000 0.000
0.500 0.500 0.500
0.750 0.250 0.750
0.750 0.750 0.250



No. 11
BaMn2Ag | Alexandria via LeMat-Bulk | GGA-PBEsol | optimized geometry; ΔE_f = 0.709 eV per atom; space group = P4/mmm; raw total energy = -22.14 eV/cell
1.0
3.417 0.000 0.000
0.000 3.417 0.000
0.000 0.000 7.585
Ba Mn Ag
1 2 1
direct
0.000 0.000 0.000
0.500 0.500 0.325
0.500 0.500 0.675
0.000 0.000 0.500



No. 12
BaMnV2Ag2O8 | Alexandria via LeMat-Bulk | GGA-PBEsol | optimized geometry; formation energy (no corrections) = -1906 meV per atom; space group = P-3; raw total energy = -106.49 eV/cell
1.0
5.481 0.000 0.000
-2.740 4.746 0.000
0.000 0.000 7.242
Ba Mn V Ag O
1 1 2 2 8
direct
0.000 0.000 0.000
0.000 0.000 0.500
0.333 0.667 0.747
0.667 0.333 0.253
0.333 0.667 0.309
0.667 0.333 0.691
0.077 0.330 0.676
0.253 0.923 0.676
0.330 0.253 0.324
0.333 0.667 0.980
0.667 0.333 0.020
0.670 0.747 0.676
0.747 0.077 0.324
0.923 0.670 0.324



Question: The lowest raw total energy belongs to which entry?
Answer: BaMnV2Ag2O8